Entry 1:
Tm2SnO2 after structural relaxation. Source: Alexandria, functional PBE.

Cell lengths 3.765, 3.765, 13.870 Å; angles 90.00, 90.00, 90.00 degrees
Space group I4/mmm (No. 139)
Symmetry-distinct sites (fractional):
Tm 0.000 0.000 0.170 x4
Sn 0.000 0.000 0.500 x2
O 0.000 0.500 0.250 x4

## Properties
VASP energy, eV per atom: -7.20
Crystal system: tetragonal
DOS at the Fermi energy, states/eV/f.u.: 1.65

=====

Entry 2:
Tm3SnO6 after structural relaxation. Source: Alexandria, functional PBE.

Cell lengths 9.6241, 9.6241, 10.9722 Å; angles 90.00, 90.00, 120.00 degrees
Space group R-3 (No. 148, hexagonal axes)
Symmetry-distinct sites (fractional):
Tm 0.0414 0.2660 0.2063 x18
Sn 0.0000 0.0000 0.0000 x3
Sn 0.0000 0.0000 0.5000 x3
O 0.0294 0.2428 0.4038 x18
O 0.0308 0.1822 0.8784 x18

## Properties
Crystal system: trigonal
DOS at the Fermi energy, states/eV/f.u.: 0.00
ΔE to the lowest computed polymorph, eV/atom: 0.0000

=====

Entry 3:
TmZrSn2O8 after structural relaxation. Source: Alexandria, functional PBE.

Cell lengths 7.027, 7.027, 6.938 Å; angles 90.00, 90.00, 90.00 degrees
Space group I-4m2 (No. 119)
Symmetry-distinct sites (fractional):
Tm 0.000 0.000 0.000 x2
Zr 0.000 0.500 0.250 x2
Sn 0.000 0.000 0.500 x2
Sn 0.000 0.500 0.750 x2
O 0.000 0.198 0.300 x8
O 0.000 0.315 0.962 x8

## Properties
VASP energy, eV per atom: -7.18
Crystal system: tetragonal
DOS at the Fermi energy, states/eV/f.u.: 11.61

=====

Entry 4:
USnO after structural relaxation. Source: Alexandria, functional PBE.

Cell lengths 3.954, 3.954, 7.786 Å; angles 90.00, 90.00, 90.00 degrees
Space group P4/nmm (No. 129, origin choice 2)
Symmetry-distinct sites (fractional):
U 0.250 0.250 0.153 x2
Sn 0.250 0.250 0.585 x2
O 0.250 0.750 0.000 x2

## Properties
VASP energy, eV per atom: -8.41
Crystal system: tetragonal
DOS at the Fermi energy, states/eV/f.u.: 5.44

=====

Entry 5:
UZnSnO6 after structural relaxation. Source: Alexandria, functional PBE.

Cell lengths 5.4556, 5.4556, 9.1248 Å; angles 90.00, 90.00, 120.00 degrees
Space group P-31c (No. 163)
Symmetry-distinct sites (fractional):
U 0.3333 0.6667 0.2500 x2
Zn 0.0000 0.0000 0.0000 x2
Sn 0.3333 0.6667 0.7500 x2
O 0.9999 0.3399 0.1302 x12

## Properties
VASP energy, eV per atom: -7.19
Crystal system: trigonal
DOS at the Fermi energy, states/eV/f.u.: 0.00

=====

Please write out number 3 again, unchanged.
TmZrSn2O8 after structural relaxation. Source: Alexandria, functional PBE.

Cell lengths 7.027, 7.027, 6.938 Å; angles 90.00, 90.00, 90.00 degrees
Space group I-4m2 (No. 119)
Symmetry-distinct sites (fractional):
Tm 0.000 0.000 0.000 x2
Zr 0.000 0.500 0.250 x2
Sn 0.000 0.000 0.500 x2
Sn 0.000 0.500 0.750 x2
O 0.000 0.198 0.300 x8
O 0.000 0.315 0.962 x8

## Properties
VASP energy, eV per atom: -7.18
Crystal system: tetragonal
DOS at the Fermi energy, states/eV/f.u.: 11.61

=====

Which formula does entry 4 have?
USnO

=====

The highest DOS at the Fermi energy belongs to which entry?
TmZrSn2O8

=====

Look up the DOS at the Fermi energy of the second one.
0.00 states/eV/f.u.